# PBE with a Hubbard U CeMn2GaO6, relaxed
# VASP energy = -7.392 eV/atom
# Magnetic moment = 6.90 μB per formula unit
data_CeMn2GaO6
_space_group_name_H-M_alt 'R 3'
_space_group_IT_number 146
_space_group_name_Hall 'R 3'
_cell_length_a 5.3150
_cell_length_b 5.3150
_cell_length_c 14.3685
_cell_angle_alpha 90.00
_cell_angle_beta 90.00
_cell_angle_gamma 120.00
loop_
_atom_site_label
_atom_site_type_symbol
_atom_site_fract_x
_atom_site_fract_y
_atom_site_fract_z
Ce1 Ce 0.0000 0.0000 0.0000
Mn1 Mn 0.0000 0.0000 0.2714
Mn2 Mn 0.0000 0.0000 0.7952
Ga1 Ga 0.0000 0.0000 0.4822
O1 O 0.0122 0.6180 0.0565
O2 O 0.0380 0.3541 0.5440